Entry 1:
DFT (GGA-PBE) results for crystalline LiMoAu2 at its relaxed geometry.

The structure in extended XYZ format:
```
4
Lattice="9.364 -0.031 -0.018 8.935 2.801 -0.018 8.935 1.352 2.453" Properties=species:S:1:pos:R:3 pbc="T T T"
Au 0.076 0.012 0.007
Au 13.541 2.049 1.201
Li 20.426 3.091 1.812
Mo 6.809 1.030 0.604
```

Results
* crystal system: trigonal
* total energy: -4.751 eV/atom
* energy above the most stable polymorph in this dataset: 0.141 eV per atom
* energy of formation: 0.07 eV per atom
* magnetization: 0.001 μB/f.u.
* space-group type: R-3m, No. 166

=====

Entry 2:
DFT (GGA-PBE) results for crystalline LiMoAu2 at its relaxed geometry.

The structure in extended XYZ format:
```
8
Lattice="-0.447 -3.601 1.667 3.967 -0.357 0.292 1.505 1.798 9.071" Properties=species:S:1:pos:R:3 pbc="T T T"
Au 4.166 -2.112 8.514
Au 0.597 -1.808 3.328
Au 2.795 -0.263 2.676
Au 2.491 -0.140 7.541
Li 3.616 -0.270 5.171
Li 1.760 -1.979 0.979
Mo 1.409 -1.892 5.859
Mo 0.000 0.000 0.000
```

Results
* crystal system: tetragonal
* total energy: -4.212 eV/atom
* energy above the most stable polymorph in this dataset: 0.680 eV per atom
* energy of formation: 0.61 eV per atom
* magnetization: 0.908 μB/f.u.
* space-group type: I-42d, No. 122

=====

Entry 3:
DFT (GGA-PBE) results for crystalline Li2MoAu at its relaxed geometry.

The structure in extended XYZ format:
```
4
Lattice="4.882 -0.005 -0.001 4.149 2.572 -0.001 0.657 0.187 5.023" Properties=species:S:1:pos:R:3 pbc="T T T"
Au 2.422 0.688 1.255
Li 4.895 1.391 2.495
Li 8.980 2.552 0.014
Mo 7.266 2.065 3.766
```

Results
* crystal system: monoclinic
* total energy: -4.346 eV/atom
* energy above the most stable polymorph in this dataset: 0.094 eV per atom
* energy of formation: 0.14 eV per atom
* magnetization: 1.467 μB/f.u.
* space-group type: C2/m, No. 12

=====

Entry 4:
DFT (GGA-PBE) results for crystalline Li2MoAu2 at its relaxed geometry.

The structure in extended XYZ format:
```
10
Lattice="7.390 0.000 0.000 0.000 7.390 0.000 0.000 0.000 2.727" Properties=species:S:1:pos:R:3 pbc="T T T"
Li 4.549 0.854 0.000
Li 6.536 4.549 0.000
Li 0.854 2.841 0.000
Li 2.841 6.536 0.000
Au 1.361 5.056 1.364
Au 6.028 2.334 1.364
Au 2.334 1.361 1.364
Au 5.056 6.028 1.364
Mo 3.695 3.695 0.000
Mo 0.000 0.000 0.000
```

Results
* crystal system: tetragonal
* total energy: -4.311 eV/atom
* energy of formation: -0.07 eV per atom
* magnetization: 0.900 μB/f.u.
* space-group type: P4/mbm, No. 127

=====

Entry 5:
DFT (GGA-PBE) results for crystalline LiMo2Au at its relaxed geometry.

The structure in extended XYZ format:
```
4
Lattice="2.672 0.000 0.000 0.000 4.542 0.000 0.000 0.000 5.126" Properties=species:S:1:pos:R:3 pbc="T T T"
Mo 0.000 0.000 5.065
Mo 0.000 0.000 2.625
Li 1.336 2.271 3.845
Au 1.336 2.271 1.282
```

Results
* crystal system: orthorhombic
* total energy: -6.468 eV/atom
* energy above the most stable polymorph in this dataset: 0.149 eV per atom
* energy of formation: 0.24 eV per atom
* magnetization: 0.000 μB/f.u.
* space-group type: Pmmm, No. 47

=====

Entry 6:
DFT (GGA-PBE) results for crystalline Li2MoAu at its relaxed geometry.

The structure in extended XYZ format:
```
4
Lattice="-1.396 -0.697 -5.313 -4.733 -2.485 -1.446 2.836 4.105 2.404" Properties=species:S:1:pos:R:3 pbc="T T T"
Li -0.882 0.872 -3.221
Li -0.038 -0.020 -0.042
Au -2.414 0.049 -1.137
Mo -3.024 -1.570 -3.334
```

Results
* crystal system: orthorhombic
* total energy: -4.226 eV/atom
* energy above the most stable polymorph in this dataset: 0.215 eV per atom
* energy of formation: 0.26 eV per atom
* magnetization: 0.000 μB/f.u.
* space-group type: Imm2, No. 44

=====

Entry 7:
DFT (GGA-PBE) results for crystalline Li2MoAu at its relaxed geometry.

The structure in extended XYZ format:
```
4
Lattice="-0.046 2.221 -1.454 -0.477 -2.005 -3.047 -5.996 0.342 0.713" Properties=species:S:1:pos:R:3 pbc="T T T"
Au -4.758 0.365 -1.716
Mo -1.760 0.194 -2.072
Li -3.121 0.178 0.371
Li -5.873 0.335 0.699
```

Results
* crystal system: orthorhombic
* total energy: -4.280 eV/atom
* energy above the most stable polymorph in this dataset: 0.160 eV per atom
* energy of formation: 0.20 eV per atom
* magnetization: 0.000 μB/f.u.
* space-group type: Pmmm, No. 47

=====

Entry 8:
DFT (GGA-PBE) results for crystalline LiMoAu2 at its relaxed geometry.

The structure in extended XYZ format:
```
4
Lattice="4.629 -0.006 0.001 3.847 2.575 0.001 0.586 0.178 5.655" Properties=species:S:1:pos:R:3 pbc="T T T"
Mo 2.265 0.687 1.414
Au 4.547 1.378 2.861
Au 9.044 2.742 5.624
Li 6.796 2.060 4.242
```

Results
* crystal system: monoclinic
* total energy: -4.620 eV/atom
* energy above the most stable polymorph in this dataset: 0.272 eV per atom
* energy of formation: 0.21 eV per atom
* magnetization: 0.625 μB/f.u.
* space-group type: C2/m, No. 12

=====

The highest magnetization belongs to which entry? number 3

=====

Which value of magnetization does entry 4 give? 0.900 μB/f.u.